The following is a DFT calculation (PBE) of crystalline Na2TlZnFe at its relaxed geometry.

Unit cell a=5.774 b=5.010 c=5.774 alpha=90.00 beta=90.00 gamma=90.00
Site moments in Bohr magnetons follow the coordinates.
Atoms (fractional coordinates):
Na  0.500  0.000  0.000  0.00
Zn  0.000  0.500  0.000  0.01
Tl  0.000  0.000  0.000  0.03
Na  0.000  0.000  0.500  0.00
Fe  0.500  0.500  0.500  3.30

V in Å³/cell: 167.03
Total magnetization in μB per cell: 3.64
Symmetry: P4/mmm (123)
Calculated formation energy in eV per formula unit: 4.8